# AlTe2Au

An optimized crystal structure of AlTe2Au (PBE, Alexandria via LeMat-Bulk).

a = 8.1038 Å, b = 4.0735 Å, c = 14.7867 Å
α = 90.00°, β = 90.00°, γ = 90.00°
Space group Pnma (No. 62)
Inequivalent atoms, fractional coordinates:
Al: 0.0570 0.2500 0.0873 [4 per cell]
Te: 0.0663 0.2500 0.2635 [4 per cell]
Te: 0.2232 0.7500 0.0099 [4 per cell]
Au: 0.1812 0.2500 0.7589 [4 per cell]

Results
Fermi-level density of states in states/eV per atom: 0.202
Formation energy without anion corrections in eV per formula unit: -0.97
M_tot in μB/cell: 0.00
Calculated volume in Å³ per cell: 488.1
Mass density in Mg/m³: 6.5